Entry 1:
Computed, not measured: crystalline LiPrInRu at its relaxed geometry at the PBE level of DFT.

Unit cell a=4.866 b=4.866 c=4.866 alpha=60.00 beta=60.00 gamma=60.00
Element x y z (fractional)
Li: 0.000 0.000 0.000
Pr: 0.250 0.250 0.250
In: 0.750 0.750 0.750
Ru: 0.500 0.500 0.500

Computed properties:
**Calculated formation energy**: -173 meV/atom
**Total moment**: 0.000 μB per formula unit

=====

Entry 2:
Computed, not measured: crystalline NaSr2CdO at its relaxed geometry at the PBE level of DFT.

Unit cell a=5.097 b=5.097 c=5.196 alpha=90.00 beta=90.00 gamma=90.00
Element x y z (fractional)
Na: 0.000 0.000 0.000
Sr: 0.000 0.500 0.500
Sr: 0.500 0.000 0.500
Cd: 0.500 0.500 0.000
O: 0.000 0.000 0.500

Computed properties:
**Total moment**: 0.000 μB per formula unit
**ΔE_f (raw)**: -1.0653 eV/atom

=====

Entry 3:
Computed, not measured: crystalline Ti2BeBBr at its relaxed geometry at the PBE level of DFT.

Unit cell a=4.481 b=4.481 c=4.050 alpha=90.00 beta=90.00 gamma=90.00
Element x y z (fractional)
Ti: 0.000 0.500 0.000
Ti: 0.500 0.000 0.000
Be: 0.000 0.000 0.000
B: 0.500 0.500 0.500
Br: 0.000 0.000 0.500

Computed properties:
**Total moment**: 0.000 μB per formula unit
**ΔE_f (raw)**: 1.2862 eV/atom

=====

Entry 4:
Computed, not measured: crystalline MgBi3N at its relaxed geometry at the PBE level of DFT.

Unit cell a=4.990 b=4.990 c=4.990 alpha=90.00 beta=90.00 gamma=90.00
Element x y z (fractional)
Mg: 0.000 0.000 0.000
Bi: 0.000 0.500 0.500
Bi: 0.500 0.000 0.500
Bi: 0.500 0.500 0.000
N: 0.500 0.500 0.500

Computed properties:
**Energy relative to the lowest polymorph listed for this composition**: 0.0000 eV/atom
**Total moment**: 0.000 μB per formula unit
**ΔE_f (raw)**: 0.4559 eV/atom

=====

Entry 5:
Computed, not measured: crystalline PmAg3Cl7 at its relaxed geometry at the PBE level of DFT.

Unit cell a=7.166 b=7.166 c=7.431 alpha=113.33 beta=113.33 gamma=68.67
Element x y z (fractional)
Pm: 0.000 0.000 0.000
Ag: 0.366 0.977 0.601
Ag: 0.560 0.560 0.972
Ag: 0.977 0.366 0.601
Cl: 0.201 0.659 0.726
Cl: 0.206 0.206 0.912
Cl: 0.420 0.871 0.239
Cl: 0.659 0.201 0.726
Cl: 0.731 0.731 0.799
Cl: 0.871 0.420 0.239
Cl: 0.972 0.972 0.347

Computed properties:
**Total moment**: 0.000 μB per formula unit
**ΔE_f (raw)**: -1.0606 eV/atom

=====

Entry 6:
Computed, not measured: crystalline BiBPt3 at its relaxed geometry at the PBE level of DFT.

Unit cell a=5.473 b=5.738 c=6.780 alpha=105.07 beta=103.61 gamma=113.55
Element x y z (fractional)
Bi: 0.000 0.000 0.000
Bi: 0.157 0.659 0.320
B: 0.361 0.395 0.805
B: 0.716 0.251 0.514
Pt: 0.145 0.607 0.730
Pt: 0.525 0.121 0.746
Pt: 0.554 0.523 0.143
Pt: 0.573 0.040 0.177
Pt: 0.576 0.539 0.591
Pt: 0.938 0.035 0.572

Computed properties:
**Energy relative to the lowest polymorph listed for this composition**: 0.0259 eV/atom
**Calculated formation energy**: -192 meV/atom
**Total moment**: 0.000 μB per formula unit

=====

Entry 7:
Computed, not measured: crystalline Rb2LiZrTe4 at its relaxed geometry at the PBE level of DFT.

Unit cell a=7.688 b=4.247 c=8.893 alpha=90.00 beta=105.85 gamma=90.00
Element x y z (fractional)
Rb: 0.000 0.000 0.000
Rb: 0.500 0.500 0.000
Li: 0.000 0.500 0.500
Zr: 0.500 0.000 0.500
Te: 0.241 0.000 0.686
Te: 0.283 0.500 0.308
Te: 0.717 0.500 0.692
Te: 0.759 0.000 0.314

Computed properties:
**Total moment**: 0.000 μB per formula unit
**ΔE_f (raw)**: -0.8498 eV/atom

=====

Entry 8:
Computed, not measured: crystalline LaCr3H at its relaxed geometry at the PBE level of DFT.

Unit cell a=4.479 b=4.479 c=4.479 alpha=90.00 beta=90.00 gamma=90.00
Element x y z (fractional)
La: 0.000 0.000 0.000
Cr: 0.000 0.000 0.500
Cr: 0.000 0.500 0.000
Cr: 0.500 0.000 0.000
H: 0.500 0.500 0.500

Computed properties:
**Energy relative to the lowest polymorph listed for this composition**: 2.1061 eV/atom
**Total moment**: 0.001 μB per formula unit

=====

> Which value of total moment does entry 8 give?

0.001 μB per formula unit